This record from OQMD describes AgS after structural relaxation. The functional is GGA-PBE.

Summary:
The calculated density is 5.48 Mg/m³. The total energy comes out at -54.72 eV for the cell shown. As for the crystal system: tetragonal.

a = 6.955 Å, b = 6.955 Å, c = 7.019 Å
α = 90.00°, β = 90.00°, γ = 90.00°
Fractional coordinates of all 16 atoms:
Ag 0.000 0.000 0.250
Ag 0.000 0.000 0.750
Ag 0.000 0.500 0.000
Ag 0.243 0.542 0.500
Ag 0.458 0.243 0.000
Ag 0.500 0.000 0.500
Ag 0.542 0.757 0.000
Ag 0.757 0.458 0.500
S 0.186 0.314 0.231
S 0.186 0.314 0.769
S 0.314 0.814 0.269
S 0.314 0.814 0.731
S 0.686 0.186 0.269
S 0.686 0.186 0.731
S 0.814 0.686 0.231
S 0.814 0.686 0.769